#P
VASP calculation (PBE-GGA) on a geometry-optimized PrInSn2 structure.

Summary:
The space group is R-3m, No. 166. For the density, the calculation gives 7.06 g/cm³.

CIF file:
```
data_PrInSn2
_cell_length_a 5.088
_cell_length_b 5.088
_cell_length_c 15.525
_cell_angle_alpha 90.00
_cell_angle_beta 90.00
_cell_angle_gamma 120.00
_symmetry_space_group_name_H-M 'P 1'
_symmetry_Int_Tables_number 1
loop_
_symmetry_equiv_pos_as_xyz
'x,y,z'
loop_
_atom_site_label
_atom_site_type_symbol
_atom_site_fract_x
_atom_site_fract_y
_atom_site_fract_z
Pr1 Pr 0.000 0.000 0.000
Pr2 Pr 0.333 0.667 0.667
Pr3 Pr 0.667 0.333 0.333
In1 In 0.000 0.000 0.500
In2 In 0.333 0.667 0.167
In3 In 0.667 0.333 0.833
Sn1 Sn 0.000 0.000 0.226
Sn2 Sn 0.000 0.000 0.774
Sn3 Sn 0.333 0.667 0.441
Sn4 Sn 0.333 0.667 0.893
Sn5 Sn 0.667 0.333 0.107
Sn6 Sn 0.667 0.333 0.559
```

***

#Q
VASP calculation (PBE-GGA) on a geometry-optimized PrInSn2 structure.

Summary:
The space group is Imma, No. 74. For the density, the calculation gives 7.39 g/cm³.

CIF file:
```
data_PrInSn2
_cell_length_a 6.703
_cell_length_b 7.977
_cell_length_c 8.288
_cell_angle_alpha 90.00
_cell_angle_beta 90.00
_cell_angle_gamma 90.00
_symmetry_space_group_name_H-M 'P 1'
_symmetry_Int_Tables_number 1
loop_
_symmetry_equiv_pos_as_xyz
'x,y,z'
loop_
_atom_site_label
_atom_site_type_symbol
_atom_site_fract_x
_atom_site_fract_y
_atom_site_fract_z
Pr1 Pr 0.000 0.250 0.063
Pr2 Pr 0.000 0.750 0.937
Pr3 Pr 0.500 0.250 0.437
Pr4 Pr 0.500 0.750 0.563
In1 In 0.000 0.250 0.468
In2 In 0.000 0.750 0.532
In3 In 0.500 0.250 0.032
In4 In 0.500 0.750 0.968
Sn1 Sn 0.250 0.056 0.750
Sn2 Sn 0.250 0.444 0.750
Sn3 Sn 0.250 0.556 0.250
Sn4 Sn 0.250 0.944 0.250
Sn5 Sn 0.750 0.056 0.750
Sn6 Sn 0.750 0.444 0.750
Sn7 Sn 0.750 0.556 0.250
Sn8 Sn 0.750 0.944 0.250
```

***

Which of them is most stable? Easy: #Q.

***

#P
VASP calculation (PBE-GGA) on a geometry-optimized Pr6In5Sn structure.

Summary:
The space group is Cmmm, No. 65. For the density, the calculation gives 7.21 g/cm³.

CIF file:
```
data_Pr6In5Sn
_cell_length_a 8.201
_cell_length_b 8.201
_cell_length_c 8.796
_cell_angle_alpha 90.00
_cell_angle_beta 90.00
_cell_angle_gamma 143.21
_symmetry_space_group_name_H-M 'P 1'
_symmetry_Int_Tables_number 1
loop_
_symmetry_equiv_pos_as_xyz
'x,y,z'
loop_
_atom_site_label
_atom_site_type_symbol
_atom_site_fract_x
_atom_site_fract_y
_atom_site_fract_z
Pr1 Pr 0.000 0.000 0.248
Pr2 Pr 0.000 0.000 0.752
Pr3 Pr 0.334 0.666 0.251
Pr4 Pr 0.334 0.666 0.749
Pr5 Pr 0.666 0.334 0.251
Pr6 Pr 0.666 0.334 0.749
In1 In 0.166 0.834 0.500
In2 In 0.171 0.829 0.000
In3 In 0.500 0.500 0.500
In4 In 0.829 0.171 0.000
In5 In 0.834 0.166 0.500
Sn1 Sn 0.500 0.500 0.000
```

***

#Q
VASP calculation (PBE-GGA) on a geometry-optimized Pr6In5Sn structure.

Summary:
The space group is C2/m, No. 12. For the density, the calculation gives 7.16 g/cm³.

CIF file:
```
data_Pr6In5Sn
_cell_length_a 9.591
_cell_length_b 9.591
_cell_length_c 5.538
_cell_angle_alpha 106.74
_cell_angle_beta 106.74
_cell_angle_gamma 120.65
_symmetry_space_group_name_H-M 'P 1'
_symmetry_Int_Tables_number 1
loop_
_symmetry_equiv_pos_as_xyz
'x,y,z'
loop_
_atom_site_label
_atom_site_type_symbol
_atom_site_fract_x
_atom_site_fract_y
_atom_site_fract_z
Pr1 Pr 0.083 0.413 0.748
Pr2 Pr 0.247 0.247 0.247
Pr3 Pr 0.413 0.083 0.748
Pr4 Pr 0.587 0.917 0.252
Pr5 Pr 0.753 0.753 0.753
Pr6 Pr 0.917 0.587 0.252
In1 In 0.172 0.828 0.000
In2 In 0.334 0.666 0.500
In3 In 0.500 0.500 0.000
In4 In 0.666 0.334 0.500
In5 In 0.828 0.172 0.000
Sn1 Sn 0.000 0.000 0.500
```

***

Which of them is most stable? Easy: #P.

***

#P
VASP calculation (PBE-GGA) on a geometry-optimized Pr3InSn3 structure.

Summary:
The space group is C2/m, No. 12. For the density, the calculation gives 7.14 g/cm³.

CIF file:
```
data_Pr3InSn3
_cell_length_a 6.443
_cell_length_b 6.443
_cell_length_c 15.530
_cell_angle_alpha 105.76
_cell_angle_beta 105.76
_cell_angle_gamma 42.40
_symmetry_space_group_name_H-M 'P 1'
_symmetry_Int_Tables_number 1
loop_
_symmetry_equiv_pos_as_xyz
'x,y,z'
loop_
_atom_site_label
_atom_site_type_symbol
_atom_site_fract_x
_atom_site_fract_y
_atom_site_fract_z
Pr1 Pr 0.012 0.012 0.376
Pr2 Pr 0.108 0.108 0.924
Pr3 Pr 0.229 0.229 0.225
Pr4 Pr 0.771 0.771 0.775
Pr5 Pr 0.892 0.892 0.076
Pr6 Pr 0.988 0.988 0.624
In1 In 0.275 0.275 0.625
In2 In 0.725 0.725 0.375
Sn1 Sn 0.367 0.367 0.459
Sn2 Sn 0.382 0.382 0.925
Sn3 Sn 0.499 0.499 0.222
Sn4 Sn 0.501 0.501 0.778
Sn5 Sn 0.618 0.618 0.075
Sn6 Sn 0.633 0.633 0.541
```

***

#Q
VASP calculation (PBE-GGA) on a geometry-optimized Pr3InSn3 structure.

Summary:
The space group is P6_3/m, No. 176. For the density, the calculation gives 6.30 g/cm³.

CIF file:
```
data_Pr3InSn3
_cell_length_a 9.324
_cell_length_b 9.324
_cell_length_c 6.256
_cell_angle_alpha 90.00
_cell_angle_beta 90.00
_cell_angle_gamma 120.00
_symmetry_space_group_name_H-M 'P 1'
_symmetry_Int_Tables_number 1
loop_
_symmetry_equiv_pos_as_xyz
'x,y,z'
loop_
_atom_site_label
_atom_site_type_symbol
_atom_site_fract_x
_atom_site_fract_y
_atom_site_fract_z
Pr1 Pr 0.078 0.674 0.250
Pr2 Pr 0.326 0.404 0.250
Pr3 Pr 0.404 0.078 0.750
Pr4 Pr 0.596 0.922 0.250
Pr5 Pr 0.674 0.596 0.750
Pr6 Pr 0.922 0.326 0.750
In1 In 0.333 0.667 0.750
In2 In 0.667 0.333 0.250
Sn1 Sn 0.062 0.736 0.750
Sn2 Sn 0.264 0.326 0.750
Sn3 Sn 0.326 0.062 0.250
Sn4 Sn 0.674 0.938 0.750
Sn5 Sn 0.736 0.674 0.250
Sn6 Sn 0.938 0.264 0.250
```

***

Which of them is most stable? Easy: #P.